Cs2K3RbF6 after structural relaxation, computed with PBE.

Summary:
As for the raw total energy: -4.106 eV per atom. For the uncorrected formation energy, the calculation gives -2673 meV/atom.

Geometry as CIF:
```
data_Cs2K3RbF6
_cell_length_a 17.560
_cell_length_b 4.028
_cell_length_c 8.087
_cell_angle_alpha 90.00
_cell_angle_beta 103.59
_cell_angle_gamma 90.00
_symmetry_space_group_name_H-M 'C 1 2/m 1'
_symmetry_Int_Tables_number 12
loop_
_symmetry_equiv_pos_as_xyz
'x,y,z'
'-x,-y,-z'
'-x,y,-z'
'x,-y,z'
'x+1/2,y+1/2,z'
'-x+1/2,-y+1/2,-z'
'-x+1/2,y+1/2,-z'
'x+1/2,-y+1/2,z'
loop_
_atom_site_label
_atom_site_type_symbol
_atom_site_fract_x
_atom_site_fract_y
_atom_site_fract_z
Cs1 Cs 0.166 0.000 0.330
K1 K 0.000 0.500 0.500
K2 K 0.165 0.000 0.836
Rb1 Rb 0.000 0.500 0.000
F1 F 0.005 0.000 0.746
F2 F 0.159 0.500 0.600
F3 F 0.169 0.500 0.066
```

Sn3TeO after structural relaxation, computed with PBE.

Summary:
As for the raw total energy: -4.250 eV per atom. The calculation puts the excess energy over the best structure of this formula in the dataset at 0.0 kJ/mol of atoms. For the uncorrected formation energy, the calculation gives -228 meV/atom.

Geometry as CIF:
```
data_Sn3TeO
_cell_length_a 4.987
_cell_length_b 4.987
_cell_length_c 4.987
_cell_angle_alpha 90.00
_cell_angle_beta 90.00
_cell_angle_gamma 90.00
_symmetry_space_group_name_H-M 'P m -3 m'
_symmetry_Int_Tables_number 221
_symmetry_space_group_name_Hall '-P 4 2 3'
loop_
_atom_site_label
_atom_site_type_symbol
_atom_site_fract_x
_atom_site_fract_y
_atom_site_fract_z
Sn1 Sn 0.000 0.000 0.500
Te1 Te 0.500 0.500 0.500
O1 O 0.000 0.000 0.000
```

TcSnS2Cl after structural relaxation, computed with PBE.

Summary:
As for the raw total energy: -4.204 eV per atom. The calculation puts the excess energy over the best structure of this formula in the dataset at 70.5 kJ/mol of atoms. For the uncorrected formation energy, the calculation gives 690 meV/atom.

Geometry as CIF:
```
data_TcSnS2Cl
_cell_length_a 5.059
_cell_length_b 5.059
_cell_length_c 5.044
_cell_angle_alpha 90.00
_cell_angle_beta 90.00
_cell_angle_gamma 90.00
_symmetry_space_group_name_H-M 'P 4/m m m'
_symmetry_Int_Tables_number 123
_symmetry_space_group_name_Hall '-P 4 2'
loop_
_atom_site_label
_atom_site_type_symbol
_atom_site_fract_x
_atom_site_fract_y
_atom_site_fract_z
Tc1 Tc 0.000 0.000 0.000
Sn1 Sn 0.500 0.500 0.500
S1 S 0.000 0.500 0.500
Cl1 Cl 0.500 0.500 0.000
```

LiFeAs2 after structural relaxation, computed with PBE.

Summary:
As for the raw total energy: -5.036 eV per atom. The value obtained for the formation enthalpy at 0 K is -0.1169 eV/atom. The calculation puts the excess energy over the best structure of this formula in the dataset at 13.3 kJ/mol of atoms.

Geometry as CIF:
```
data_LiFeAs2
_cell_length_a 6.019
_cell_length_b 6.019
_cell_length_c 6.019
_cell_angle_alpha 90.00
_cell_angle_beta 90.00
_cell_angle_gamma 90.00
_symmetry_space_group_name_H-M 'F m -3 m'
_symmetry_Int_Tables_number 225
_symmetry_space_group_name_Hall '-F 4 2 3'
loop_
_atom_site_label
_atom_site_type_symbol
_atom_site_fract_x
_atom_site_fract_y
_atom_site_fract_z
Li1 Li 0.000 0.000 0.000
Fe1 Fe 0.000 0.000 0.500
As1 As 0.250 0.250 0.250
```